# 1
! K2ZnSb, optimized geometry, DFT PBE-GGA; values from VASP
! Spin magnetization (μB/cell): 0.0
! Calculated density (g/cm3): 3.38
! Energy relative to the elements, uncorrected (eV per formula unit): -0.1
&SYSTEM
  ibrav = 0, nat = 4, ntyp = 3
/
ATOMIC_SPECIES
K 39.10 K.upf
Sb 121.76 Sb.upf
Zn 65.41 Zn.upf
CELL_PARAMETERS angstrom
5.000 0.000 0.000
0.000 4.994 0.000
0.000 0.000 5.215
ATOMIC_POSITIONS angstrom
K 0.000 0.000 0.000
K 2.500 2.497 0.000
Sb 2.500 0.000 2.608
Zn 0.000 2.497 2.608

***

# 2
! CePmNiPt, optimized geometry, DFT PBE-GGA; values from VASP
! Spin magnetization (μB/cell): 0.4
! Calculated density (g/cm3): 9.93
! Formation enthalpy at 0 K (eV/atom): -0.7272
&SYSTEM
  ibrav = 0, nat = 4, ntyp = 4
/
ATOMIC_SPECIES
Ce 140.12 Ce.upf
Pm 145.00 Pm.upf
Ni 58.69 Ni.upf
Pt 195.08 Pt.upf
CELL_PARAMETERS angstrom
3.807 0.000 0.000
0.000 4.403 0.000
-1.903 0.000 5.377
ATOMIC_POSITIONS angstrom
Ce 1.903 2.202 3.944
Pm 0.000 0.000 1.524
Ni 0.000 0.000 4.422
Pt 1.903 2.202 0.865

***

# 3
! LaPr2PbN, optimized geometry, DFT PBE-GGA; values from VASP
! Spin magnetization (μB/cell): 0.0
! Calculated density (g/cm3): 8.02
! Energy relative to the elements, uncorrected (eV per formula unit): -4.4
&SYSTEM
  ibrav = 0, nat = 5, ntyp = 4
/
ATOMIC_SPECIES
La 138.91 La.upf
Pr 140.91 Pr.upf
Pb 207.20 Pb.upf
N 14.01 N.upf
CELL_PARAMETERS angstrom
-2.674 -0.645 4.273
-2.152 -4.194 -1.980
3.778 -2.851 1.934
ATOMIC_POSITIONS angstrom
La -1.337 -0.323 2.136
Pr 1.889 -1.426 0.967
Pr -1.076 -2.097 -0.990
Pb -0.524 -3.845 2.113
N 0.000 0.000 0.000

***

# 4
! TbErGaPt, optimized geometry, DFT PBE-GGA; values from VASP
! Spin magnetization (μB/cell): 0.0
! Calculated density (g/cm3): 11.14
! Formation enthalpy at 0 K (eV/atom): -0.8733
&SYSTEM
  ibrav = 0, nat = 4, ntyp = 4
/
ATOMIC_SPECIES
Tb 158.93 Tb.upf
Ga 69.72 Ga.upf
Pt 195.08 Pt.upf
Er 167.26 Er.upf
CELL_PARAMETERS angstrom
-2.269 4.180 -1.524
-4.240 1.480 2.186
-0.019 4.043 2.933
ATOMIC_POSITIONS angstrom
Tb -3.264 4.851 1.797
Ga -1.632 2.426 0.899
Pt -4.895 7.277 2.696
Er 0.000 0.000 0.000

***

# 5
! ZrAsP, optimized geometry, DFT PBE-GGA; values from VASP
! Spin magnetization (μB/cell): 0.0
! Calculated density (g/cm3): 5.01
! Formation enthalpy at 0 K (eV/atom): -0.3093
&SYSTEM
  ibrav = 0, nat = 3, ntyp = 3
/
ATOMIC_SPECIES
As 74.92 As.upf
P 30.97 P.upf
Zr 91.22 Zr.upf
CELL_PARAMETERS angstrom
4.521 0.000 0.000
2.260 3.915 0.000
2.260 1.305 3.691
ATOMIC_POSITIONS angstrom
As 0.000 0.000 0.000
P 4.521 2.610 1.846
Zr 6.781 3.915 2.768

***

# 6
! Sr3CaH, optimized geometry, DFT PBE-GGA; values from VASP
! Spin magnetization (μB/cell): 0.0
! VASP energy (eV/atom): -2.189
! Calculated density (g/cm3): 2.66
&SYSTEM
  ibrav = 0, nat = 5, ntyp = 3
/
ATOMIC_SPECIES
Sr 87.62 Sr.upf
Ca 40.08 Ca.upf
H 1.01 H.upf
CELL_PARAMETERS angstrom
5.748 0.000 0.000
0.000 5.748 0.000
0.000 0.000 5.748
ATOMIC_POSITIONS angstrom
Sr 0.000 2.874 0.000
Sr 0.000 0.000 2.874
Sr 2.874 0.000 0.000
Ca 2.874 2.874 2.874
H 0.000 0.000 0.000

***

# 7
! Ca2HfTiV, optimized geometry, DFT PBE-GGA; values from VASP
! Spin magnetization (μB/cell): 1.2
! Calculated density (g/cm3): 4.46
! Formation enthalpy at 0 K (eV/atom): 1.1809
&SYSTEM
  ibrav = 0, nat = 5, ntyp = 4
/
ATOMIC_SPECIES
Ca 40.08 Ca.upf
Ti 47.87 Ti.upf
Hf 178.49 Hf.upf
V 50.94 V.upf
CELL_PARAMETERS angstrom
5.582 0.000 0.000
0.000 4.276 0.000
0.000 0.000 5.582
ATOMIC_POSITIONS angstrom
Ca 0.000 0.000 2.791
Ca 2.791 0.000 0.000
Ti 0.000 0.000 0.000
Hf 2.791 2.138 2.791
V 0.000 2.138 0.000

***

# 8
! Nb2TlN, optimized geometry, DFT PBE-GGA; values from VASP
! Spin magnetization (μB/cell): 0.0
! Calculated density (g/cm3): 8.06
! Energy relative to the elements, uncorrected (eV per formula unit): 0.9
&SYSTEM
  ibrav = 0, nat = 8, ntyp = 3
/
ATOMIC_SPECIES
Tl 204.38 Tl.upf
Nb 92.91 Nb.upf
N 14.01 N.upf
CELL_PARAMETERS angstrom
5.575 0.000 0.000
0.000 5.575 0.000
2.787 2.787 5.358
ATOMIC_POSITIONS angstrom
Tl 0.000 0.000 0.000
Tl 5.575 2.787 2.679
Nb 3.379 1.394 1.340
Nb 2.196 4.181 1.340
Nb 4.181 4.983 4.019
Nb 6.968 6.166 4.019
N 2.787 2.787 0.000
N 2.787 5.575 2.679

***

What is the formula in the first record? K2ZnSb